# TmCrAs2O8 PBE with a Hubbard U relaxed
data_TmCrAs2O8
_symmetry_space_group_name_H-M 'P 1'
_symmetry_Int_Tables_number 1
_symmetry_space_group_name_Hall 'P 1'
_cell_length_a 5.769
_cell_length_b 5.769
_cell_length_c 5.769
_cell_angle_alpha 107.22
_cell_angle_beta 107.22
_cell_angle_gamma 114.07
loop_
_atom_site_label
_atom_site_fract_x
_atom_site_fract_y
_atom_site_fract_z
Tm1 0.000 0.000 0.000
Cr1 0.750 0.250 0.500
As1 0.250 0.750 0.500
As2 0.500 0.500 0.000
O1 0.065 0.382 0.318
O2 0.065 0.747 0.682
O3 0.127 0.316 0.811
O4 0.253 0.935 0.318
O5 0.505 0.316 0.189
O6 0.618 0.935 0.682
O7 0.684 0.495 0.811
O8 0.684 0.873 0.189
# Theoretical density (Mg/m³): 5.6
# Calculated total energy (eV per cell): -82.378
# SG: I-4m2, No. 119